Record 1
# Np3GaS6 (GGA-PBE, relaxed)
# DOS at the Fermi energy = 2.62 states/eV per atom
# raw formation energy = -12.0 eV per formula unit
# volume = 22.92 Å³/atom
data_Np3GaS6
_chemical_formula_sum 'Np12 Ga4 S24'
_cell_length_a 10.654
_cell_length_b 13.204
_cell_length_c 6.516
_cell_angle_alpha 90.00
_cell_angle_beta 90.00
_cell_angle_gamma 90.00
_symmetry_space_group_name_H-M 'C m c 21'
_symmetry_Int_Tables_number 36
loop_
_symmetry_equiv_pos_as_xyz
'x,y,z'
'-x,-y,z+1/2'
'-x,y,z'
'x,-y,z+1/2'
'x+1/2,y+1/2,z'
'-x+1/2,-y+1/2,z+1/2'
'-x+1/2,y+1/2,z'
'x+1/2,-y+1/2,z+1/2'
loop_
_atom_site_label
_atom_site_type_symbol
_atom_site_fract_x
_atom_site_fract_y
_atom_site_fract_z
Np1 Np 0.000 0.101 0.000
Np2 Np 0.182 0.402 0.919
Ga1 Ga 0.000 0.301 0.377
S1 S 0.000 0.281 0.727
S2 S 0.000 0.463 0.228
S3 S 0.160 0.028 0.709
S4 S 0.169 0.235 0.199

Record 2
# Tc2MoAs (GGA-PBE, relaxed)
# DOS at the Fermi energy = 0.69 states/eV per atom
# formation energy = 0.01 eV/atom
# volume = 14.84 Å³/atom
data_Tc2MoAs
_chemical_formula_sum 'Tc2 Mo1 As1'
_cell_length_a 2.969
_cell_length_b 2.969
_cell_length_c 6.736
_cell_angle_alpha 90.00
_cell_angle_beta 90.00
_cell_angle_gamma 90.00
_symmetry_space_group_name_H-M 'P 4 m m'
_symmetry_Int_Tables_number 99
loop_
_symmetry_equiv_pos_as_xyz
'x,y,z'
'-y,x,z'
'-x,-y,z'
'y,-x,z'
'-x,y,z'
'y,x,z'
'x,-y,z'
'-y,-x,z'
loop_
_atom_site_label
_atom_site_type_symbol
_atom_site_fract_x
_atom_site_fract_y
_atom_site_fract_z
Tc1 Tc 0.000 0.000 0.000
Tc2 Tc 0.500 0.500 0.257
Mo1 Mo 0.500 0.500 0.733
As1 As 0.000 0.000 0.488